1.
{"formula": "KAl3Sn", "functional": "PBE", "state": "optimized geometry", "lattice": [[-4.240, 2.997, -1.914], [-2.705, -4.652, -1.292], [-2.309, -0.054, 5.029]], "species": ["Al", "Al", "Al", "Sn", "K"], "fractional_positions": [[0.500, 0.000, 0.000], [0.000, 0.000, 0.500], [0.000, 0.500, 0.000], [0.000, 0.000, 0.000], [0.500, 0.500, 0.500]], "sg": "Pm-3m", "volume_a3_per_cell": 169.5, "polymorph_energy_mev_per_atom": 0, "crystal_system": "cubic", "energy_ev_per_fu": -13.3, "delta_e_f_ev_per_atom": 0.611, "dos_at_fermi_per_ev_cell": 3.11}

***

2.
{"formula": "KAlSn", "functional": "PBE", "state": "optimized geometry", "lattice": [[2.885, -8.608, 0.000], [2.885, 8.608, 0.000], [0.000, 0.000, 3.546]], "species": ["Al", "Al", "Sn", "Sn", "K", "K"], "fractional_positions": [[0.237, 0.237, 0.000], [0.763, 0.763, 0.000], [0.394, 0.606, 0.500], [0.606, 0.394, 0.500], [0.816, 0.184, 0.000], [0.184, 0.816, 0.000]], "sg": "Cmmm", "volume_a3_per_cell": 176.1, "crystal_system": "orthorhombic", "energy_ev_per_fu": -8.9, "delta_e_f_ev_per_atom": -0.032, "dos_at_fermi_per_ev_cell": 1.84}

***

3.
{"formula": "KAl2Sn2", "functional": "PBE", "state": "optimized geometry", "lattice": [[-2.250, -2.711, -1.716], [2.551, -0.240, -2.965], [4.626, -6.701, 4.521]], "species": ["Sn", "Sn", "Al", "Al", "K"], "fractional_positions": [[0.500, 0.500, 0.729], [0.500, 0.500, 0.271], [0.000, 0.500, 0.500], [0.500, 0.000, 0.500], [0.000, 0.000, 0.000]], "sg": "P4/mmm", "volume_a3_per_cell": 143.0, "polymorph_energy_mev_per_atom": 70, "crystal_system": "tetragonal", "energy_ev_per_fu": -16.6, "delta_e_f_ev_per_atom": -0.002, "dos_at_fermi_per_ev_cell": 1.95}

***

4.
{"formula": "KAl2Sn2", "functional": "PBE", "state": "optimized geometry", "lattice": [[4.900, 0.000, 0.000], [0.000, 4.900, 0.000], [2.450, 2.450, 5.833]], "species": ["Al", "Al", "K", "Sn", "Sn"], "fractional_positions": [[0.750, 0.250, 0.500], [0.250, 0.750, 0.500], [0.000, 0.000, 0.000], [0.372, 0.372, 0.256], [0.628, 0.628, 0.744]], "sg": "I4/mmm", "volume_a3_per_cell": 140.0, "polymorph_energy_mev_per_atom": 18, "crystal_system": "tetragonal", "energy_ev_per_fu": -16.9, "delta_e_f_ev_per_atom": -0.054, "dos_at_fermi_per_ev_cell": 2.06}

***

5.
{"formula": "KAlSn", "functional": "PBE", "state": "optimized geometry", "lattice": [[-0.547, 5.428, 1.429], [-1.129, -1.244, 4.293], [4.416, 0.735, -1.101]], "species": ["Sn", "K", "Al"], "fractional_positions": [[0.167, 0.000, 0.000], [0.667, 0.333, 0.667], [0.167, 0.667, 0.333]], "sg": "P-6m2", "volume_a3_per_cell": 103.8, "crystal_system": "hexagonal", "energy_ev_per_fu": -9.2, "delta_e_f_ev_per_atom": -0.113, "dos_at_fermi_per_ev_cell": 0.23}

***

6.
{"formula": "KAlSn", "functional": "PBE", "state": "optimized geometry", "lattice": [[-1.288, 4.268, 6.688], [-4.490, 0.347, -1.086], [-1.047, -4.731, 2.817]], "species": ["Al", "Al", "Sn", "Sn", "K", "K"], "fractional_positions": [[0.660, 0.000, 0.000], [0.340, 0.000, 0.000], [0.823, 0.500, 0.000], [0.177, 0.500, 0.000], [0.000, 0.000, 0.500], [0.500, 0.500, 0.500]], "sg": "Pmmm", "volume_a3_per_cell": 208.7, "crystal_system": "orthorhombic", "energy_ev_per_fu": -9.1, "delta_e_f_ev_per_atom": -0.073, "dos_at_fermi_per_ev_cell": 1.45}